Record 1
First-principles (PBE) data for crystalline LaDyAgRu at its relaxed geometry, as listed in Alexandria.

energy relative to the elements	-0.248	eV/atom
SG	F-43m, No. 216

Cell and atoms, written as POSCAR:
```
LaDyAgRu
1.0
0.000 3.595 3.595
3.595 0.000 3.595
3.595 3.595 0.000
La Dy Ag Ru
1 1 1 1
Direct
0.000 0.000 0.000
0.500 0.500 0.500
0.750 0.750 0.750
0.250 0.250 0.250
```

=====

Record 2
First-principles (PBE) data for crystalline TiAsOsSe2 at its relaxed geometry, as listed in Alexandria.

energy above the most stable polymorph in this dataset	0.00	eV per formula unit
SG	P4/mmm, No. 123
ΔE_f (raw)	722	meV per atom

Cell and atoms, written as POSCAR:
```
TiAsOsSe2
1.0
5.030 0.000 0.000
0.000 5.030 0.000
0.000 0.000 4.572
Ti As Os Se
1 1 1 2
Direct
0.000 0.000 0.000
0.500 0.500 0.000
0.500 0.500 0.500
0.000 0.500 0.500
0.500 0.000 0.500
```

=====

Record 3
First-principles (PBE) data for crystalline KPH4O4 at its relaxed geometry, as listed in Alexandria.

electronic total energy	-4.9085	eV/atom
SG	I-42d, No. 122

Cell and atoms, written as POSCAR:
```
KPH4O4
1.0
-4.273 4.273 3.648
4.273 -4.273 3.648
4.273 4.273 -3.648
K P H O
2 2 8 8
Direct
0.000 0.000 0.000
0.750 0.250 0.500
0.250 0.750 0.500
0.500 0.500 0.000
0.135 0.462 0.988
0.212 0.385 0.488
0.277 0.788 0.173
0.473 0.146 0.012
0.538 0.527 0.673
0.615 0.104 0.827
0.854 0.865 0.327
0.896 0.723 0.512
0.058 0.803 0.630
0.172 0.428 0.370
0.178 0.422 0.870
0.197 0.828 0.256
0.553 0.308 0.130
0.572 0.942 0.744
0.578 0.447 0.756
0.692 0.822 0.244
```

=====

Record 4
First-principles (PBE) data for crystalline Mn2CrH6 at its relaxed geometry, as listed in Alexandria.

electronic total energy	-5.3327	eV/atom
SG	C2/m, No. 12

Cell and atoms, written as POSCAR:
```
Mn2CrH6
1.0
4.771 -2.083 0.000
4.771 2.083 0.000
-0.882 0.000 2.801
Mn Cr H
2 1 6
Direct
0.169 0.169 0.168
0.831 0.831 0.832
0.500 0.500 0.500
0.088 0.580 0.335
0.245 0.755 0.000
0.420 0.912 0.665
0.580 0.088 0.335
0.755 0.245 0.000
0.912 0.420 0.665
```

=====

Record 5
First-principles (PBE) data for crystalline Sc2TlCoCu at its relaxed geometry, as listed in Alexandria.

energy relative to the elements	1.091	eV/atom
SG	P4/mmm, No. 123

Cell and atoms, written as POSCAR:
```
Sc2TlCoCu
1.0
5.343 0.000 0.000
0.000 5.343 0.000
0.000 0.000 4.680
Sc Tl Co Cu
2 1 1 1
Direct
0.000 0.500 0.000
0.500 0.000 0.000
0.000 0.000 0.000
0.000 0.000 0.500
0.500 0.500 0.500
```

=====

Record 6
First-principles (PBE) data for crystalline Pm7SnGe3 at its relaxed geometry, as listed in Alexandria.

energy relative to the elements	-0.525	eV/atom
SG	C2/m, No. 12

Cell and atoms, written as POSCAR:
```
Pm7SnGe3
1.0
4.475 -5.429 0.000
4.475 5.429 0.000
-2.035 0.000 6.779
Pm Sn Ge
7 1 3
Direct
0.000 0.000 0.000
0.111 0.535 0.288
0.340 0.340 0.807
0.465 0.889 0.712
0.535 0.111 0.288
0.660 0.660 0.193
0.889 0.465 0.712
0.000 0.000 0.500
0.271 0.729 0.000
0.500 0.500 0.500
0.729 0.271 0.000
```

=====

Number 1: Fermi-level density of states 0.826 states/eV per atom. Number 2: Fermi-level density of states 1.446 states/eV per atom. Number 3: Fermi-level density of states 0.000 states/eV per atom. Number 4: Fermi-level density of states 0.437 states/eV per atom. Number 5: Fermi-level density of states 1.934 states/eV per atom. Number 6: Fermi-level density of states 0.759 states/eV per atom.